Crystalline Co2HgBr at its relaxed geometry. Source: the Alexandria database, functional PBE-GGA.

Cell lengths 3.0420, 5.7902, 8.4035 Å; angles 90.00, 90.00, 90.00 degrees
Space group Immm (No. 71)
Unique sites:
Co1 0.0000 0.0000 0.2325 x4
Hg1 0.0000 0.5000 0.0000 x2
Br1 0.0000 0.5000 0.5000 x2

Uncorrected formation energy   750.4 meV/atom
Relative energy among the computed polymorphs   0.408 eV per atom


Crystalline HfCrNiOs2 at its relaxed geometry. Source: the Alexandria database, functional PBE-GGA.

Cell lengths 4.4645, 4.4645, 4.2331 Å; angles 90.00, 90.00, 90.00 degrees
Space group P4/mmm (No. 123)
Unique sites:
Hf1 0.0000 0.0000 0.0000 x1
Cr1 0.5000 0.5000 0.5000 x1
Ni1 0.5000 0.5000 0.0000 x1
Os1 0.0000 0.5000 0.5000 x2

ΔH_f (0 K)   80.5 kJ/mol of atoms


Crystalline PAuO2F at its relaxed geometry. Source: the Alexandria database, functional PBE-GGA.

Cell lengths 4.2903, 4.2903, 3.5590 Å; angles 90.00, 90.00, 90.00 degrees
Space group P4/mmm (No. 123)
Unique sites:
P1 0.0000 0.0000 0.0000 x1
Au1 0.5000 0.5000 0.0000 x1
O1 0.0000 0.5000 0.5000 x2
F1 0.0000 0.0000 0.5000 x1

Uncorrected formation energy   915.9 meV/atom


Crystalline ZnSe2Br at its relaxed geometry. Source: the Alexandria database, functional PBE-GGA.

Cell lengths 5.2354, 5.2354, 3.1050 Å; angles 90.00, 90.00, 90.00 degrees
Space group P4/mmm (No. 123)
Unique sites:
Zn1 0.0000 0.0000 0.0000 x1
Se1 0.0000 0.5000 0.5000 x2
Br1 0.5000 0.5000 0.0000 x1

Uncorrected formation energy   471.9 meV/atom
Relative energy among the computed polymorphs   0.763 eV per atom


Crystalline CdRh2NO at its relaxed geometry. Source: the Alexandria database, functional PBE-GGA.

Cell lengths 3.8550, 3.8550, 4.8470 Å; angles 90.00, 90.00, 90.00 degrees
Space group P4/mmm (No. 123)
Unique sites:
Cd1 0.0000 0.0000 0.0000 x1
Rh1 0.0000 0.5000 0.5000 x2
N1 0.5000 0.5000 0.5000 x1
O1 0.5000 0.5000 0.0000 x1

Uncorrected formation energy   386.7 meV/atom


Crystalline YAl2As at its relaxed geometry. Source: the Alexandria database, functional PBE-GGA.

Cell lengths 3.5972, 3.5972, 6.2303 Å; angles 90.00, 90.00, 90.00 degrees
Space group P4mm (No. 99)
Unique sites:
Y1 0.0000 0.0000 0.0000 x1
Al1 0.0000 0.0000 0.5084 x1
Al2 0.5000 0.5000 0.2991 x1
As1 0.5000 0.5000 0.7162 x1

ΔH_f (0 K)   -40.8 kJ/mol of atoms


Crystalline K2CaOs at its relaxed geometry. Source: the Alexandria database, functional PBE-GGA.

Cell lengths 6.0918, 12.4031, 3.0656 Å; angles 90.00, 90.00, 90.00 degrees
Space group Cmmm (No. 65)
Unique sites:
K1 0.2500 0.2500 0.0000 x4
Ca1 0.0000 0.0000 0.5000 x2
Os1 0.0000 0.5000 0.5000 x2

ΔH_f (0 K)   118.5 kJ/mol of atoms
Relative energy among the computed polymorphs   0.465 eV per atom


Crystalline LaTb4Dy2 at its relaxed geometry. Source: the Alexandria database, functional PBE-GGA.

Cell lengths 7.0977, 8.6464, 8.8806 Å; angles 114.57, 101.36, 101.79 degrees
Space group P1 (No. 1)
Unique sites:
La1 0.0000 0.0000 0.0000 x1
La2 0.3016 0.6687 0.5461 x1
Tb1 0.0248 0.8268 0.2780 x1
Tb2 0.1062 0.5542 0.8717 x1
Tb3 0.3873 0.4030 0.1361 x1
Tb4 0.4128 0.2296 0.4142 x1
Tb5 0.5002 0.0006 0.0002 x1
Tb6 0.6074 0.5541 0.8692 x1
Tb7 0.7040 0.1169 0.7028 x1
Tb8 0.9083 0.2324 0.4153 x1
Dy1 0.2070 0.1231 0.7054 x1
Dy2 0.5250 0.8242 0.2724 x1
Dy3 0.8009 0.6680 0.5382 x1
Dy4 0.8817 0.4035 0.1338 x1

ΔH_f (0 K)   4.0 kJ/mol of atoms
Relative energy among the computed polymorphs   0.000 eV per atom


| no. | raw total energy (eV/atom) | magnetic moment (μB/atom) |
| --- | --- | --- |
| 1 | -3.296 | 0.90 |
| 2 | -8.730 | 0.00 |
| 3 | -3.179 | 0.29 |
| 4 | -2.007 | 0.00 |
| 5 | -5.394 | 0.22 |
| 6 | -5.073 | 0.00 |
| 7 | -2.628 | 0.00 |
| 8 | -4.623 | 0.00 |